Record 1
Material: LuMgZnCd
Method: DFT, PBE-GGA
State: relaxed

Crystal system: cubic
Energy of formation from the pure elements: -264 meV/atom
Electronic total energy: -2.340 eV per atom
Magnetic moment: 0.0 μB per cell
ρ: 7.47 g/cm³

a = 6.9478 Å, b = 6.9478 Å, c = 6.9478 Å
α = 90.00°, β = 90.00°, γ = 90.00°
Closest atoms and distances in Å follow each position.
Space group F-43m (No. 216)
Asymmetric unit:
Lu 0.0000 0.0000 0.0000 [4 per cell]  4 Zn 3.01, 4 Cd 3.01
Mg 0.0000 0.0000 0.5000 [4 per cell]  4 Cd 3.01, 4 Zn 3.01
Zn 0.2500 0.2500 0.2500 [4 per cell]  4 Mg 3.01, 4 Lu 3.01
Cd 0.2500 0.2500 0.7500 [4 per cell]  4 Mg 3.01, 4 Lu 3.01

Record 2
Material: Lu2MnCd
Method: DFT, PBE-GGA
State: relaxed

E above lowest polymorph: 0.093 eV/atom
Crystal system: cubic
Energy of formation from the pure elements: -17 meV/atom
Electronic total energy: -4.798 eV per atom
Magnetic moment: 12.7 μB per cell
ρ: 9.38 g/cm³

a = 7.1553 Å, b = 7.1553 Å, c = 7.1553 Å
α = 90.00°, β = 90.00°, γ = 90.00°
Closest atoms and distances in Å follow each position.
Space group Fm-3m (No. 225)
Asymmetric unit:
Lu 0.2500 0.2500 0.2500 [8 per cell]  4 Cd 3.10, 4 Mn 3.10
Mn 0.0000 0.0000 0.0000 [4 per cell]  8 Lu 3.10
Cd 0.0000 0.0000 0.5000 [4 per cell]  8 Lu 3.10

Record 3
Material: Lu2MnCd
Method: DFT, PBE-GGA
State: relaxed

E above lowest polymorph: 0.000 eV/atom
Crystal system: tetragonal
Energy of formation from the pure elements: -109 meV/atom
Electronic total energy: -4.891 eV per atom
Magnetic moment: 2.5 μB per cell
ρ: 9.60 g/cm³

a = 3.4117 Å, b = 3.4117 Å, c = 7.6891 Å
α = 90.00°, β = 90.00°, γ = 90.00°
Closest atoms and distances in Å follow each position.
Space group P4/mmm (No. 123)
Asymmetric unit:
Lu 0.0000 0.0000 0.2219 [2 per cell]  4 Mn 2.95, 4 Cd 3.22
Mn 0.5000 0.5000 0.0000 [1 per cell]  8 Lu 2.95
Cd 0.5000 0.5000 0.5000 [1 per cell]  8 Lu 3.22, 4 Cd 3.41

Record 4
Material: NdLuMnCd
Method: DFT, PBE-GGA
State: relaxed

Crystal system: cubic
Energy of formation from the pure elements: 12 meV/atom
Electronic total energy: -4.832 eV per atom
Magnetic moment: 12.8 μB per cell
ρ: 8.13 g/cm³

a = 7.3528 Å, b = 7.3528 Å, c = 7.3528 Å
α = 90.00°, β = 90.00°, γ = 90.00°
Closest atoms and distances in Å follow each position.
Space group F-43m (No. 216)
Asymmetric unit:
Nd 0.0000 0.0000 0.0000 [4 per cell]  4 Cd 3.18, 4 Mn 3.18
Lu 0.0000 0.0000 0.5000 [4 per cell]  4 Cd 3.18, 4 Mn 3.18
Mn 0.2500 0.2500 0.7500 [4 per cell]  4 Nd 3.18, 4 Lu 3.18
Cd 0.2500 0.2500 0.2500 [4 per cell]  4 Nd 3.18, 4 Lu 3.18